Record 1
A relaxed NaPm2Hg crystal. Source: the Alexandria database, functional GGA-PBE.

Output
Offset from the most stable computed form in meV/atom: 7
SG: P4/mmm (123)
Energy of formation from the pure elements in meV per atom: -80

```
4
Lattice="4.026 0.000 0.000 0.000 5.374 0.000 0.000 0.000 5.374" Properties=species:S:1:pos:R:3 pbc="T T T"
Pm 0.000 0.000 2.687
Pm 0.000 2.687 0.000
Na 2.013 0.000 0.000
Hg 2.013 2.687 2.687
```



Record 2
A relaxed NaPm2Hg6 crystal. Source: the Alexandria database, functional GGA-PBE.

Output
SG: P6/mmm (191)
Energy of formation from the pure elements in meV per atom: -342

```
9
Lattice="-1.675 -2.897 0.619 6.379 -4.536 -3.970 0.451 1.581 8.621" Properties=species:S:1:pos:R:3 pbc="T T T"
Hg 3.732 -3.426 3.421
Hg 1.424 -2.427 1.849
Hg -0.536 -0.391 6.077
Hg -0.688 -0.925 3.163
Hg 1.274 -2.950 -1.005
Hg 3.882 -2.903 6.275
Pm 2.427 -0.458 4.424
Pm 2.728 -5.394 0.846
Na 0.451 1.581 8.621
```



Record 3
A relaxed NaPm2Hg crystal. Source: the Alexandria database, functional GGA-PBE.

Output
Offset from the most stable computed form in meV/atom: 108
SG: R-3m (166)
Energy of formation from the pure elements in meV per atom: 21

```
4
Lattice="3.591 0.000 0.000 1.796 3.110 0.000 1.796 1.037 12.157" Properties=species:S:1:pos:R:3 pbc="T T T"
Pm 5.387 3.110 3.608
Pm 1.796 1.037 8.549
Na 0.000 0.000 0.000
Hg 3.591 2.073 6.078
```



Q: The highest energy of formation from the pure elements belongs to which entry?
A: number 3



Q: Which formula does entry 1 have?
A: NaPm2Hg



Q: Among the records above, which one has the lowest energy of formation from the pure elements?
A: NaPm2Hg6



Q: What is the energy of formation from the pure elements in the second record?
A: -342 meV per atom